Entry 1:
An optimized crystal structure of AcOsCl, computed with PBE.

Cell: 7.333 4.234 12.221 Å, 90.00 101.28 90.00°
Atoms (fractional coordinates):
Ac: 0.000 0.000 0.000
Ac: 0.034 0.500 0.591
Ac: 0.500 0.500 0.000
Ac: 0.534 0.000 0.591
Os: 0.269 0.000 0.801
Os: 0.421 0.500 0.755
Os: 0.769 0.500 0.801
Os: 0.921 0.000 0.755
Cl: 0.150 0.000 0.437
Cl: 0.216 0.500 0.153
Cl: 0.650 0.500 0.437
Cl: 0.716 0.000 0.153

Calculated values
**Crystal system**: monoclinic
**SG**: Cm
**Uncorrected formation energy**: -0.981 eV/atom
**Electronic total energy**: -6.710 eV per atom
**Distance to the lowest polymorph of the same formula**: 3.32 kcal/mol of atoms
**Magnetic moment**: 0.00 μB/f.u.

=====

Entry 2:
An optimized crystal structure of Ac3OsCl2, computed with PBE.

Cell: 16.019 5.993 4.383 Å, 90.00 105.78 90.00°
Atoms (fractional coordinates):
Ac: 0.000 0.000 0.000
Ac: 0.128 0.500 0.628
Ac: 0.372 0.000 0.372
Ac: 0.500 0.500 0.000
Ac: 0.628 0.000 0.628
Ac: 0.872 0.500 0.372
Os: 0.000 0.500 0.000
Os: 0.500 0.000 0.000
Cl: 0.188 0.000 0.690
Cl: 0.312 0.500 0.310
Cl: 0.688 0.500 0.690
Cl: 0.812 0.000 0.310

Calculated values
**Crystal system**: monoclinic
**SG**: C2/m
**Uncorrected formation energy**: -1.064 eV/atom
**Electronic total energy**: -5.605 eV per atom
**Magnetic moment**: 0.00 μB/f.u.

=====

Entry 3:
An optimized crystal structure of Ac2OsCl, computed with PBE.

Cell: 4.307 4.307 24.188 Å, 90.00 90.00 120.00°
Atoms (fractional coordinates):
Ac: 0.000 0.000 0.000
Ac: 0.000 0.000 0.201
Ac: 0.333 0.667 0.667
Ac: 0.333 0.667 0.867
Ac: 0.667 0.333 0.333
Ac: 0.667 0.333 0.534
Os: 0.000 0.000 0.600
Os: 0.333 0.667 0.267
Os: 0.667 0.333 0.933
Cl: 0.000 0.000 0.772
Cl: 0.333 0.667 0.439
Cl: 0.667 0.333 0.105

Calculated values
**Crystal system**: trigonal
**SG**: R3m
**Uncorrected formation energy**: -0.747 eV/atom
**Electronic total energy**: -6.070 eV per atom
**Distance to the lowest polymorph of the same formula**: 0.76 kcal/mol of atoms
**Magnetic moment**: 0.00 μB/f.u.